No. 1
Density functional theory data (GGA-PBE) for U2BC after structural relaxation.

Cell: 3.5299 3.5299 20.8808 Å, 90.00 90.00 120.00°
Space group R-3m (No. 166, hexagonal axes)
Inequivalent atoms, fractional coordinates:
U1 0.0000 0.0000 0.0975 (multiplicity 6)
B1 0.0000 0.0000 0.5000 (multiplicity 3)
C1 0.0000 0.0000 0.0000 (multiplicity 3)

## Properties
ΔE_f   0.9519 eV/atom
Total magnetic moment   0.01 μB per formula unit
Energy relative to the lowest polymorph listed for this composition   803 meV/atom
Crystal system   trigonal
VASP energy   -8.67 eV per atom

***

No. 2
Density functional theory data (GGA-PBE) for V8B3C2 after structural relaxation.

Cell: 10.410 5.812 5.117 Å, 90.00 107.01 90.00°
Space group C2/m (No. 12)
Inequivalent atoms, fractional coordinates:
V1 0.101 0.000 0.347 (multiplicity 4)
V2 0.121 0.253 0.897 (multiplicity 8)
V3 0.132 0.500 0.434 (multiplicity 4)
B1 0.000 0.250 0.500 (multiplicity 4)
B2 0.000 0.500 0.000 (multiplicity 2)
C1 0.246 0.000 0.146 (multiplicity 4)

## Properties
ΔE_f   -0.1463 eV/atom
Total magnetic moment   0.00 μB per formula unit
Crystal system   monoclinic
VASP energy   -8.72 eV per atom

***

No. 3
Density functional theory data (GGA-PBE) for V2BC after structural relaxation.

Cell: 2.998 16.695 2.953 Å, 90.00 90.00 90.00°
Space group Cmcm (No. 63)
Inequivalent atoms, fractional coordinates:
V1 0.000 0.072 0.250 (multiplicity 4)
V2 0.000 0.309 0.250 (multiplicity 4)
B1 0.000 0.471 0.250 (multiplicity 4)
C1 0.000 0.189 0.250 (multiplicity 4)

## Properties
ΔE_f   -0.6305 eV/atom
Total magnetic moment   0.00 μB per formula unit
Energy relative to the lowest polymorph listed for this composition   0 meV/atom
Crystal system   orthorhombic
VASP energy   -9.17 eV per atom

***

No. 4
Density functional theory data (GGA-PBE) for V6B3C after structural relaxation.

Cell: 8.677 2.994 8.758 Å, 90.00 111.17 90.00°
Space group P2_1/m (No. 11)
Inequivalent atoms, fractional coordinates:
V1 0.036 0.250 0.393 (multiplicity 2)
V2 0.113 0.250 0.944 (multiplicity 2)
V3 0.245 0.750 0.266 (multiplicity 2)
V4 0.291 0.750 0.750 (multiplicity 2)
V5 0.401 0.250 0.545 (multiplicity 2)
V6 0.430 0.750 0.105 (multiplicity 2)
B1 0.061 0.250 0.164 (multiplicity 2)
B2 0.204 0.750 0.492 (multiplicity 2)
B3 0.343 0.250 0.922 (multiplicity 2)
C1 0.449 0.250 0.299 (multiplicity 2)

## Properties
ΔE_f   -0.3128 eV/atom
Total magnetic moment   0.00 μB per formula unit
Crystal system   monoclinic
VASP energy   -8.71 eV per atom

***

No. 5
Density functional theory data (GGA-PBE) for VBC3 after structural relaxation.

Cell: 3.900 3.900 3.900 Å, 90.00 90.00 90.00°
Space group Pm-3m (No. 221)
Inequivalent atoms, fractional coordinates:
V1 0.000 0.000 0.000 (multiplicity 1)
B1 0.500 0.500 0.500 (multiplicity 1)
C1 0.000 0.000 0.500 (multiplicity 3)

## Properties
ΔE_f   2.6124 eV/atom
Total magnetic moment   0.00 μB per formula unit
Energy relative to the lowest polymorph listed for this composition   660 meV/atom
Crystal system   cubic
VASP energy   -6.08 eV per atom

***

No. 6
Density functional theory data (GGA-PBE) for V2BC after structural relaxation.

Cell: 5.264 5.264 5.264 Å, 90.00 90.00 90.00°
Space group Fm-3m (No. 225)
Inequivalent atoms, fractional coordinates:
V1 0.250 0.250 0.250 (multiplicity 8)
B1 0.000 0.000 0.000 (multiplicity 4)
C1 0.000 0.000 0.500 (multiplicity 4)

## Properties
ΔE_f   0.3708 eV/atom
Total magnetic moment   0.00 μB per formula unit
Energy relative to the lowest polymorph listed for this composition   1001 meV/atom
Crystal system   cubic
VASP energy   -8.16 eV per atom

***

No. 7
Density functional theory data (GGA-PBE) for V2BC after structural relaxation.

Cell: 4.241 2.867 6.073 Å, 90.00 109.54 90.00°
Space group P2_1/m (No. 11)
Inequivalent atoms, fractional coordinates:
V1 0.213 0.250 0.424 (multiplicity 2)
V2 0.277 0.750 0.070 (multiplicity 2)
B1 0.343 0.750 0.720 (multiplicity 2)
C1 0.161 0.250 0.780 (multiplicity 2)

## Properties
ΔE_f   -0.5202 eV/atom
Total magnetic moment   0.00 μB per formula unit
Energy relative to the lowest polymorph listed for this composition   110 meV/atom
Crystal system   monoclinic
VASP energy   -9.05 eV per atom

***

No. 8
Density functional theory data (GGA-PBE) for V7B2C2 after structural relaxation.

Cell: 2.957 11.184 6.824 Å, 90.00 90.00 90.00°
Space group Imm2 (No. 44)
Inequivalent atoms, fractional coordinates:
V1 0.000 0.000 0.000 (multiplicity 2)
V2 0.000 0.114 0.596 (multiplicity 4)
V3 0.000 0.317 0.381 (multiplicity 4)
V4 0.000 0.356 0.763 (multiplicity 4)
B1 0.000 0.000 0.329 (multiplicity 2)
B2 0.000 0.500 0.260 (multiplicity 2)
C1 0.000 0.245 0.078 (multiplicity 4)

## Properties
ΔE_f   -0.4071 eV/atom
Total magnetic moment   0.00 μB per formula unit
Crystal system   orthorhombic
VASP energy   -9.10 eV per atom

***

No. 9
Density functional theory data (GGA-PBE) for V4B2C after structural relaxation.

Cell: 3.674 3.674 11.782 Å, 90.00 90.00 90.00°
Space group I4/mmm (No. 139)
Inequivalent atoms, fractional coordinates:
V1 0.000 0.000 0.176 (multiplicity 4)
V2 0.000 0.500 0.000 (multiplicity 4)
B1 0.000 0.000 0.363 (multiplicity 4)
C1 0.000 0.000 0.000 (multiplicity 2)

## Properties
ΔE_f   0.1124 eV/atom
Total magnetic moment   0.00 μB per formula unit
Crystal system   tetragonal
VASP energy   -8.32 eV per atom

***

No. 10
Density functional theory data (GGA-PBE) for V4BC after structural relaxation.

Cell: 5.065 5.103 5.137 Å, 90.00 93.13 90.00°
Space group P2_1/c (No. 14)
Inequivalent atoms, fractional coordinates:
V1 0.133 0.147 0.157 (multiplicity 4)
V2 0.357 0.637 0.125 (multiplicity 4)
B1 0.500 0.000 0.000 (multiplicity 2)
C1 0.000 0.000 0.500 (multiplicity 2)

## Properties
ΔE_f   -0.2961 eV/atom
Total magnetic moment   0.00 μB per formula unit
Crystal system   monoclinic
VASP energy   -9.03 eV per atom

***

No. 11
Density functional theory data (GGA-PBE) for VBC3 after structural relaxation.

Cell: 3.398 3.398 3.398 Å, 90.00 90.00 90.00°
Space group Pm-3m (No. 221)
Inequivalent atoms, fractional coordinates:
V1 0.000 0.000 0.000 (multiplicity 1)
B1 0.500 0.500 0.500 (multiplicity 1)
C1 0.000 0.500 0.500 (multiplicity 3)

## Properties
ΔE_f   1.9521 eV/atom
Total magnetic moment   0.23 μB per formula unit
Energy relative to the lowest polymorph listed for this composition   0 meV/atom
Crystal system   cubic
VASP energy   -6.74 eV per atom

***

No. 12
Density functional theory data (GGA-PBE) for V2BC after structural relaxation.

Cell: 4.627 4.627 9.194 Å, 90.00 90.00 90.00°
Space group I-42d (No. 122)
Inequivalent atoms, fractional coordinates:
V1 0.230 0.250 0.125 (multiplicity 8)
B1 0.000 0.000 0.500 (multiplicity 4)
C1 0.000 0.000 0.000 (multiplicity 4)

## Properties
ΔE_f   0.4516 eV/atom
Total magnetic moment   0.00 μB per formula unit
Energy relative to the lowest polymorph listed for this composition   1082 meV/atom
Crystal system   tetragonal
VASP energy   -8.08 eV per atom